[1]
DFT (meta-GGA SCAN) results for a PBEsol-optimized structure of Ho2P4O13.

a b c (Å): 6.773 6.773 12.815
angles (deg): 104.58 104.58 59.34
Atoms (fractional coordinates):
Ho1 0.188 0.194 0.048
Ho2 0.194 0.188 0.548
Ho3 0.806 0.812 0.452
Ho4 0.812 0.806 0.952
P1 0.251 0.272 0.338
P2 0.272 0.251 0.838
P3 0.331 0.646 0.133
P4 0.354 0.669 0.367
P5 0.646 0.331 0.633
P6 0.669 0.354 0.867
P7 0.728 0.749 0.162
P8 0.749 0.728 0.662
O1 0.050 0.421 0.404
O2 0.074 0.422 0.904
O3 0.164 0.823 0.057
O4 0.177 0.836 0.443
O5 0.187 0.199 0.219
O6 0.199 0.187 0.719
O7 0.244 0.756 0.250
O8 0.372 0.403 0.101
O9 0.382 0.417 0.345
O10 0.403 0.372 0.601
O11 0.417 0.382 0.845
O12 0.421 0.050 0.904
O13 0.422 0.074 0.404
O14 0.578 0.926 0.596
O15 0.579 0.950 0.096
O16 0.583 0.618 0.155
O17 0.597 0.628 0.399
O18 0.618 0.583 0.655
O19 0.628 0.597 0.899
O20 0.756 0.244 0.750
O21 0.801 0.813 0.281
O22 0.813 0.801 0.781
O23 0.823 0.164 0.557
O24 0.836 0.177 0.943
O25 0.926 0.578 0.096
O26 0.950 0.579 0.596

- Volume: 242.00 Å³/f.u.
- SG: C2/c (15)
- Offset from the most stable computed form: 20 meV/atom
- Formation energy from raw total energies: -285 kJ per mole of atoms

---

[2]
DFT (meta-GGA SCAN) results for a PBEsol-optimized structure of HoPO4.

a b c (Å): 5.691 5.691 5.691
angles (deg): 106.03 106.03 116.60
Atoms (fractional coordinates):
Ho1 0.375 0.625 0.750
Ho2 0.625 0.375 0.250
P1 0.125 0.875 0.250
P2 0.875 0.125 0.750
O1 0.139 0.713 0.426
O2 0.213 0.287 0.926
O3 0.287 0.213 0.426
O4 0.287 0.861 0.074
O5 0.713 0.139 0.926
O6 0.713 0.787 0.574
O7 0.787 0.713 0.074
O8 0.861 0.287 0.574

- Volume: 70.11 Å³/f.u.
- SG: I4_1/amd (141)
- Formation energy from raw total energies: -326 kJ per mole of atoms

---

[3]
DFT (meta-GGA SCAN) results for a PBEsol-optimized structure of HoP5O14.

a b c (Å): 8.715 12.694 8.944
angles (deg): 90.00 90.00 90.00
Atoms (fractional coordinates):
Ho1 0.020 0.250 0.057
Ho2 0.480 0.750 0.557
Ho3 0.520 0.250 0.443
Ho4 0.980 0.750 0.943
P1 0.010 0.582 0.298
P2 0.010 0.918 0.298
P3 0.074 0.750 0.509
P4 0.242 0.570 0.774
P5 0.242 0.930 0.774
P6 0.258 0.070 0.274
P7 0.258 0.430 0.274
P8 0.426 0.250 0.009
P9 0.490 0.082 0.798
P10 0.490 0.418 0.798
P11 0.510 0.582 0.202
P12 0.510 0.918 0.202
P13 0.574 0.750 0.991
P14 0.742 0.570 0.726
P15 0.742 0.930 0.726
P16 0.758 0.070 0.226
P17 0.758 0.430 0.226
P18 0.926 0.250 0.491
P19 0.990 0.082 0.702
P20 0.990 0.418 0.702
O1 0.006 0.637 0.152
O2 0.006 0.863 0.152
O3 0.025 0.153 0.562
O4 0.025 0.347 0.562
O5 0.041 0.750 0.671
O6 0.111 0.508 0.679
O7 0.111 0.992 0.679
O8 0.156 0.120 0.161
O9 0.156 0.380 0.161
O10 0.167 0.530 0.344
O11 0.167 0.970 0.344
O12 0.172 0.629 0.899
O13 0.172 0.871 0.899
O14 0.231 0.750 0.443
O15 0.269 0.250 0.943
O16 0.328 0.129 0.399
O17 0.328 0.371 0.399
O18 0.333 0.030 0.844
O19 0.333 0.470 0.844
O20 0.344 0.620 0.661
O21 0.344 0.880 0.661
O22 0.389 0.008 0.179
O23 0.389 0.492 0.179
O24 0.459 0.250 0.171
O25 0.475 0.653 0.062
O26 0.475 0.847 0.062
O27 0.494 0.137 0.652
O28 0.494 0.363 0.652
O29 0.506 0.637 0.348
O30 0.506 0.863 0.348
O31 0.525 0.153 0.938
O32 0.525 0.347 0.938
O33 0.541 0.750 0.829
O34 0.611 0.508 0.821
O35 0.611 0.992 0.821
O36 0.656 0.120 0.339
O37 0.656 0.380 0.339
O38 0.667 0.530 0.156
O39 0.667 0.970 0.156
O40 0.672 0.629 0.601
O41 0.672 0.871 0.601
O42 0.731 0.750 0.057
O43 0.769 0.250 0.557
O44 0.828 0.129 0.101
O45 0.828 0.371 0.101
O46 0.833 0.030 0.656
O47 0.833 0.470 0.656
O48 0.844 0.620 0.839
O49 0.844 0.880 0.839
O50 0.889 0.008 0.321
O51 0.889 0.492 0.321
O52 0.959 0.250 0.329
O53 0.975 0.653 0.438
O54 0.975 0.847 0.438
O55 0.994 0.137 0.848
O56 0.994 0.363 0.848

- Volume: 247.37 Å³/f.u.
- SG: Pnma (62)
- Offset from the most stable computed form: 3 meV/atom
- Formation energy from raw total energies: -252 kJ per mole of atoms

---

[4]
DFT (meta-GGA SCAN) results for a PBEsol-optimized structure of HoP5O14.

a b c (Å): 9.093 9.093 12.421
angles (deg): 91.05 91.05 89.49
Atoms (fractional coordinates):
Ho1 0.019 0.981 0.750
Ho2 0.467 0.533 0.750
Ho3 0.533 0.467 0.250
Ho4 0.981 0.019 0.250
P1 0.021 0.682 0.395
P2 0.071 0.578 0.740
P3 0.113 0.177 0.000
P4 0.177 0.113 0.500
P5 0.183 0.452 0.110
P6 0.318 0.979 0.105
P7 0.328 0.626 0.466
P8 0.374 0.672 0.034
P9 0.422 0.929 0.760
P10 0.452 0.183 0.610
P11 0.548 0.817 0.390
P12 0.578 0.071 0.240
P13 0.626 0.328 0.966
P14 0.672 0.374 0.534
P15 0.682 0.021 0.895
P16 0.817 0.548 0.890
P17 0.823 0.887 0.500
P18 0.887 0.823 0.000
P19 0.929 0.422 0.260
P20 0.979 0.318 0.605
O1 0.005 0.484 0.637
O2 0.014 0.141 0.090
O3 0.030 0.481 0.164
O4 0.038 0.782 0.305
O5 0.039 0.733 0.715
O6 0.073 0.147 0.886
O7 0.109 0.278 0.527
O8 0.141 0.014 0.590
O9 0.147 0.073 0.386
O10 0.150 0.351 0.007
O11 0.156 0.674 0.476
O12 0.211 0.604 0.056
O13 0.218 0.962 0.195
O14 0.222 0.525 0.768
O15 0.267 0.961 0.785
O16 0.278 0.109 0.027
O17 0.301 0.394 0.180
O18 0.326 0.844 0.024
O19 0.347 0.535 0.366
O20 0.351 0.150 0.507
O21 0.376 0.576 0.574
O22 0.394 0.301 0.680
O23 0.396 0.789 0.444
O24 0.424 0.624 0.926
O25 0.465 0.653 0.134
O26 0.475 0.778 0.732
O27 0.481 0.030 0.664
O28 0.484 0.005 0.137
O29 0.516 0.995 0.863
O30 0.519 0.970 0.336
O31 0.525 0.222 0.268
O32 0.535 0.347 0.866
O33 0.576 0.376 0.074
O34 0.604 0.211 0.556
O35 0.606 0.699 0.320
O36 0.624 0.424 0.426
O37 0.649 0.850 0.493
O38 0.653 0.465 0.634
O39 0.674 0.156 0.976
O40 0.699 0.606 0.820
O41 0.722 0.891 0.973
O42 0.733 0.039 0.215
O43 0.778 0.475 0.232
O44 0.782 0.038 0.805
O45 0.789 0.396 0.944
O46 0.844 0.326 0.524
O47 0.850 0.649 0.993
O48 0.853 0.927 0.614
O49 0.859 0.986 0.410
O50 0.891 0.722 0.473
O51 0.927 0.853 0.114
O52 0.961 0.267 0.285
O53 0.962 0.218 0.695
O54 0.970 0.519 0.836
O55 0.986 0.859 0.910
O56 0.995 0.516 0.363

- Volume: 256.68 Å³/f.u.
- SG: C2/c (15)
- Offset from the most stable computed form: 0 meV/atom
- Formation energy from raw total energies: -252 kJ per mole of atoms

---

[5]
DFT (meta-GGA SCAN) results for a PBEsol-optimized structure of Ho2P4O13.

a b c (Å): 9.336 9.336 8.541
angles (deg): 90.00 90.00 136.02
Atoms (fractional coordinates):
Ho1 0.104 0.397 0.149
Ho2 0.397 0.104 0.851
Ho3 0.603 0.896 0.351
Ho4 0.896 0.603 0.649
P1 0.080 0.400 0.501
P2 0.221 0.348 0.776
P3 0.348 0.221 0.224
P4 0.400 0.080 0.499
P5 0.600 0.920 0.999
P6 0.652 0.779 0.724
P7 0.779 0.652 0.276
P8 0.920 0.600 0.001
O1 0.015 0.473 0.608
O2 0.081 0.765 0.881
O3 0.093 0.325 0.900
O4 0.117 0.285 0.607
O5 0.235 0.919 0.619
O6 0.242 0.285 0.201
O7 0.274 0.570 0.401
O8 0.285 0.117 0.393
O9 0.285 0.242 0.799
O10 0.325 0.093 0.100
O11 0.411 0.589 0.750
O12 0.430 0.726 0.099
O13 0.473 0.015 0.392
O14 0.527 0.985 0.892
O15 0.570 0.274 0.599
O16 0.589 0.411 0.250
O17 0.675 0.907 0.600
O18 0.715 0.758 0.299
O19 0.715 0.883 0.893
O20 0.726 0.430 0.901
O21 0.758 0.715 0.701
O22 0.765 0.081 0.119
O23 0.883 0.715 0.107
O24 0.907 0.675 0.400
O25 0.919 0.235 0.381
O26 0.985 0.527 0.108

- Volume: 258.48 Å³/f.u.
- SG: C222_1 (20)
- Offset from the most stable computed form: 0 meV/atom
- Formation energy from raw total energies: -287 kJ per mole of atoms

---

[6]
DFT (meta-GGA SCAN) results for a PBEsol-optimized structure of RbHoP4O12.

a b c (Å): 10.255 8.850 12.716
angles (deg): 90.00 124.31 90.00
Atoms (fractional coordinates):
Rb1 0.237 0.064 0.042
Rb2 0.237 0.436 0.542
Rb3 0.763 0.564 0.458
Rb4 0.763 0.936 0.958
Ho1 0.315 0.727 0.816
Ho2 0.315 0.773 0.316
Ho3 0.685 0.227 0.684
Ho4 0.685 0.273 0.184
P1 0.024 0.024 0.279
P2 0.024 0.476 0.779
P3 0.199 0.611 0.024
P4 0.199 0.889 0.524
P5 0.327 0.170 0.367
P6 0.327 0.330 0.867
P7 0.391 0.092 0.742
P8 0.391 0.408 0.242
P9 0.609 0.592 0.758
P10 0.609 0.908 0.258
P11 0.673 0.670 0.133
P12 0.673 0.830 0.633
P13 0.801 0.111 0.476
P14 0.801 0.389 0.976
P15 0.976 0.524 0.221
P16 0.976 0.976 0.721
O1 0.036 0.549 0.900
O2 0.036 0.951 0.400
O3 0.072 0.587 0.717
O4 0.072 0.913 0.217
O5 0.136 0.594 0.304
O6 0.136 0.906 0.804
O7 0.155 0.157 0.344
O8 0.155 0.343 0.844
O9 0.164 0.714 0.099
O10 0.164 0.786 0.599
O11 0.268 0.048 0.596
O12 0.268 0.452 0.096
O13 0.280 0.210 0.755
O14 0.280 0.290 0.255
O15 0.298 0.669 0.981
O16 0.298 0.831 0.481
O17 0.370 0.026 0.334
O18 0.370 0.474 0.834
O19 0.425 0.543 0.325
O20 0.425 0.957 0.825
O21 0.432 0.242 0.495
O22 0.432 0.258 0.995
O23 0.474 0.677 0.742
O24 0.474 0.823 0.242
O25 0.526 0.177 0.758
O26 0.526 0.323 0.258
O27 0.568 0.742 0.005
O28 0.568 0.758 0.505
O29 0.575 0.043 0.175
O30 0.575 0.457 0.675
O31 0.630 0.526 0.166
O32 0.630 0.974 0.666
O33 0.702 0.169 0.519
O34 0.702 0.331 0.019
O35 0.720 0.710 0.745
O36 0.720 0.790 0.245
O37 0.732 0.548 0.904
O38 0.732 0.952 0.404
O39 0.836 0.214 0.401
O40 0.836 0.286 0.901
O41 0.845 0.657 0.156
O42 0.845 0.843 0.656
O43 0.864 0.094 0.196
O44 0.864 0.406 0.696
O45 0.928 0.087 0.783
O46 0.928 0.413 0.283
O47 0.964 0.049 0.600
O48 0.964 0.451 0.100

- Volume: 238.32 Å³/f.u.
- SG: P2_1/c (14)
- Formation energy from raw total energies: -264 kJ per mole of atoms

---

[7]
DFT (meta-GGA SCAN) results for a PBEsol-optimized structure of RbHoP2O7.

a b c (Å): 7.719 10.917 8.688
angles (deg): 90.00 105.98 90.00
Atoms (fractional coordinates):
Rb1 0.184 0.177 0.063
Rb2 0.184 0.323 0.563
Rb3 0.816 0.677 0.437
Rb4 0.816 0.823 0.937
Ho1 0.234 0.597 0.253
Ho2 0.234 0.903 0.753
Ho3 0.766 0.097 0.247
Ho4 0.766 0.403 0.747
P1 0.130 0.601 0.817
P2 0.130 0.899 0.317
P3 0.436 0.638 0.688
P4 0.436 0.862 0.188
P5 0.564 0.138 0.812
P6 0.564 0.362 0.312
P7 0.870 0.101 0.683
P8 0.870 0.399 0.183
O1 0.007 0.502 0.717
O2 0.007 0.998 0.217
O3 0.076 0.728 0.747
O4 0.076 0.772 0.247
O5 0.141 0.593 0.993
O6 0.141 0.907 0.493
O7 0.328 0.611 0.517
O8 0.328 0.889 0.017
O9 0.330 0.570 0.802
O10 0.330 0.930 0.302
O11 0.378 0.079 0.767
O12 0.378 0.421 0.267
O13 0.450 0.726 0.233
O14 0.450 0.774 0.733
O15 0.550 0.226 0.267
O16 0.550 0.274 0.767
O17 0.622 0.579 0.733
O18 0.622 0.921 0.233
O19 0.670 0.070 0.698
O20 0.670 0.430 0.198
O21 0.672 0.111 0.983
O22 0.672 0.389 0.483
O23 0.859 0.093 0.507
O24 0.859 0.407 0.007
O25 0.924 0.228 0.753
O26 0.924 0.272 0.253
O27 0.993 0.002 0.783
O28 0.993 0.498 0.283

- Volume: 175.97 Å³/f.u.
- SG: P2_1/c (14)
- Formation energy from raw total energies: -287 kJ per mole of atoms

---

The records above yield total energy values of -14.565, -17.428, -12.021, -12.024, -14.586, -13.078, -15.172 eV/atom, respectively.